[1]
Material: AcMg10Hg2
Method: DFT, PBE
State: optimized geometry

Cell: 6.099 7.803 7.816 Å, 81.23 67.04 67.00°
Positions (direct):
Mg1 0.505 0.778 0.213
Mg2 0.282 0.222 0.213
Hg1 0.500 0.500 0.000
Hg2 0.000 0.500 0.000
Mg3 0.005 0.643 0.347
Mg4 0.000 0.000 0.500
Mg5 0.500 0.000 0.500
Ac1 0.000 0.000 0.000
Mg6 0.995 0.357 0.653
Mg7 0.495 0.222 0.787
Mg8 0.718 0.778 0.787
Mg9 0.352 0.643 0.653
Mg10 0.648 0.357 0.347

## Properties
The symmetry is No. 69. The calculation puts the density of states at the Fermi level at 5.20 states/eV per cell. The calculation puts the calculated formation energy at -0.14 eV/atom.


[2]
Material: Ac2Mg5Hg
Method: DFT, PBE
State: optimized geometry

Cell: 5.095 9.502 10.154 Å, 90.00 90.00 105.55°
Positions (direct):
Ac1 0.803 0.605 0.750
Mg1 0.400 0.800 0.250
Hg1 0.552 0.104 0.250
Mg2 0.188 0.375 0.896
Mg3 0.188 0.375 0.604
Mg4 0.812 0.625 0.396
Ac2 0.000 0.000 0.000
Mg5 0.812 0.625 0.104
Mg6 0.648 0.295 0.031
Mg7 0.600 0.200 0.750
Mg8 0.352 0.705 0.969
Mg9 0.648 0.295 0.469
Mg10 0.352 0.705 0.531
Ac3 0.000 0.000 0.500
Hg2 0.448 0.896 0.750
Ac4 0.197 0.395 0.250

## Properties
The symmetry is No. 63. The calculation puts the density of states at the Fermi level at 16.67 states/eV per cell. The calculation puts the calculated formation energy at -0.12 eV/atom.


[3]
Material: Ac3Mg9Hg2
Method: DFT, PBE
State: optimized geometry

Cell: 5.154 9.280 9.280 Å, 69.45 73.88 73.88°
Positions (direct):
Mg1 0.346 0.297 0.012
Ac1 0.705 0.295 0.295
Ac2 0.295 0.705 0.705
Mg2 0.000 0.500 0.500
Mg3 0.865 0.419 0.851
Hg1 0.500 0.676 0.324
Mg4 0.346 0.012 0.297
Ac3 0.000 0.000 0.000
Mg5 0.135 0.581 0.149
Hg2 0.500 0.324 0.676
Mg6 0.135 0.149 0.581
Mg7 0.654 0.703 0.988
Mg8 0.865 0.851 0.419
Mg9 0.654 0.988 0.703

## Properties
The symmetry is No. 71. The calculation puts the density of states at the Fermi level at 10.96 states/eV per cell. The calculation puts the calculated formation energy at -0.14 eV/atom.


[4]
Material: AcMg2Hg2
Method: DFT, PBE
State: optimized geometry

Cell: 4.508 4.508 6.702 Å, 90.00 90.00 90.00°
Positions (direct):
Mg1 0.000 0.500 0.500
Hg1 0.500 0.500 0.222
Hg2 0.500 0.500 0.778
Mg2 0.500 0.000 0.500
Ac1 0.000 0.000 0.000

## Properties
The symmetry is No. 123. The calculation puts the density of states at the Fermi level at 3.39 states/eV per cell. The calculation puts the calculated formation energy at -0.35 eV/atom.


[5]
Material: Ac3Mg2Hg3
Method: DFT, PBE
State: optimized geometry

Cell: 4.866 7.057 15.484 Å, 90.00 90.00 110.17°
Positions (direct):
Ac1 0.339 0.678 0.750
Mg1 0.777 0.554 0.923
Ac2 0.939 0.878 0.116
Hg1 0.392 0.784 0.958
Ac3 0.061 0.122 0.616
Ac4 0.661 0.322 0.250
Ac5 0.939 0.878 0.384
Mg2 0.777 0.554 0.577
Mg3 0.223 0.446 0.423
Ac6 0.061 0.122 0.884
Hg2 0.346 0.692 0.250
Hg3 0.608 0.216 0.458
Hg4 0.392 0.784 0.542
Mg4 0.223 0.446 0.077
Hg5 0.654 0.308 0.750
Hg6 0.608 0.216 0.042

## Properties
The symmetry is No. 63. The calculation puts the density of states at the Fermi level at 16.42 states/eV per cell. The calculation puts the calculated formation energy at -0.37 eV/atom.


[6]
Material: AcMg6Hg3
Method: DFT, PBE
State: optimized geometry

Cell: 4.637 9.992 11.407 Å, 100.52 90.00 90.00°
Positions (direct):
Mg1 0.250 0.226 0.675
Ac1 0.750 0.999 0.798
Mg2 0.250 0.905 0.537
Hg1 0.250 0.644 0.185
Hg2 0.750 0.725 0.564
Mg3 0.750 0.470 0.082
Mg4 0.750 0.095 0.463
Hg3 0.250 0.275 0.436
Hg4 0.750 0.185 0.096
Mg5 0.250 0.583 0.440
Mg6 0.250 0.234 0.953
Hg5 0.750 0.356 0.815
Mg7 0.750 0.766 0.047
Mg8 0.750 0.417 0.560
Mg9 0.750 0.774 0.325
Mg10 0.250 0.360 0.217
Mg11 0.750 0.640 0.783
Mg12 0.250 0.530 0.918
Ac2 0.250 0.001 0.202
Hg6 0.250 0.815 0.904

## Properties
The symmetry is No. 11. The calculation puts the density of states at the Fermi level at 12.42 states/eV per cell. The calculation puts the calculated formation energy at -0.16 eV/atom.


[7]
Material: Ac3Mg2Hg9
Method: DFT, PBE
State: optimized geometry

Cell: 5.058 10.044 9.292 Å, 122.71 105.79 90.00°
Positions (direct):
Ac1 0.284 0.284 0.567
Mg1 0.500 0.332 0.000
Hg1 0.646 0.289 0.292
Hg2 0.354 0.997 0.708
Hg3 0.354 0.711 0.708
Hg4 0.000 0.500 0.000
Hg5 0.857 0.147 0.714
Hg6 0.646 0.003 0.292
Hg7 0.143 0.853 0.286
Hg8 0.857 0.567 0.714
Mg2 0.500 0.668 0.000
Ac2 0.000 0.000 0.000
Hg9 0.143 0.433 0.286
Ac3 0.716 0.716 0.433

## Properties
The symmetry is No. 71. The calculation puts the density of states at the Fermi level at 9.56 states/eV per cell. The calculation puts the calculated formation energy at -0.37 eV/atom.


[8]
Material: Ac3Mg2Hg3
Method: DFT, PBE
State: optimized geometry

Cell: 4.006 5.696 11.482 Å, 104.36 100.05 90.00°
Positions (direct):
Hg1 0.867 0.867 0.735
Ac1 0.370 0.370 0.740
Ac2 0.630 0.630 0.260
Hg2 0.000 0.500 0.000
Mg1 0.734 0.234 0.469
Ac3 0.500 0.000 0.000
Mg2 0.266 0.766 0.531
Hg3 0.133 0.133 0.265

## Properties
The symmetry is No. 71. The calculation puts the density of states at the Fermi level at 7.99 states/eV per cell. The calculation puts the calculated formation energy at -0.31 eV/atom.